# 1
Density functional theory data (GGA-PBE) for a geometry-optimized HoEr3Pt3 structure.

Calculated values
The formation energy comes out at -7.3 eV/f.u. The value obtained for the raw total energy is -6.2407 eV/atom. The total magnetic moment is 0.000 μB/atom.

a = 6.9077 Å, b = 6.9077 Å, c = 7.0323 Å
α = 90.57°, β = 90.57°, γ = 96.69°
Closest atoms and distances in Å follow each position.
Fractional coordinates of all 14 atoms:
Ho (0.2383, 0.2383, 0.3962)  4 Pt 2.76-3.01
Ho (0.7617, 0.7617, 0.6038)  4 Pt 2.76-3.01
Er (0.1729, 0.1729, 0.8943)  3 Pt 2.86-2.93
Er (0.2537, 0.7463, 0.5000)  6 Pt 2.95-3.07
Er (0.3221, 0.6779, 0.0000)  6 Pt 2.82-2.91
Er (0.6779, 0.3221, 0.0000)  6 Pt 2.82-2.91
Er (0.7463, 0.2537, 0.5000)  6 Pt 2.95-3.07
Er (0.8271, 0.8271, 0.1057)  3 Pt 2.86-2.93
Pt (0.0039, 0.4798, 0.2187)  1 Ho 2.76, 5 Er 2.82-3.07
Pt (0.4427, 0.4427, 0.6972)  2 Ho 2.81-3.01, 5 Er 2.85-2.95, 1 Pt 2.98
Pt (0.4798, 0.0039, 0.2187)  1 Ho 2.76, 5 Er 2.82-3.07
Pt (0.5202, 0.9961, 0.7813)  1 Ho 2.76, 5 Er 2.82-3.07
Pt (0.5573, 0.5573, 0.3028)  2 Ho 2.81-3.01, 5 Er 2.85-2.95, 1 Pt 2.98
Pt (0.9961, 0.5202, 0.7813)  1 Ho 2.76, 5 Er 2.82-3.07

---

# 2
Density functional theory data (GGA-PBE) for a geometry-optimized Mn2BeP structure.

Calculated values
The formation energy comes out at 0.8 eV/f.u. The value obtained for the raw total energy is -6.6586 eV/atom. The total magnetic moment is 0.770 μB/atom.

a = 2.5045 Å, b = 2.5045 Å, c = 7.5729 Å
α = 90.00°, β = 90.00°, γ = 99.20°
Closest atoms and distances in Å follow each position.
Fractional coordinates of all 4 atoms:
Mn (0.0000, 0.0000, 0.0000)  4 P 2.35-2.55, 6 Mn 2.50
Mn (0.5000, 0.5000, 0.2519)  4 Be 2.24-2.45
Be (0.0000, 0.0000, 0.4548)  4 Mn 2.24-2.45
P (0.5000, 0.5000, 0.7765)  4 Mn 2.35-2.55, 4 P 2.50

---

# 3
Density functional theory data (GGA-PBE) for a geometry-optimized BaLaMn2 structure.

Calculated values
The formation energy comes out at 3.2 eV/f.u. The value obtained for the raw total energy is -5.5027 eV/atom. The total magnetic moment is 1.493 μB/atom.

a = 10.1044 Å, b = 10.1044 Å, c = 10.1044 Å
α = 149.23°, β = 149.23°, γ = 44.07°
Closest atoms and distances in Å follow each position.
Fractional coordinates of all 8 atoms:
Ba (0.3750, 0.6250, 0.7500)  4 La 3.79, 8 Mn 3.80
Ba (0.6250, 0.3750, 0.2500)  4 La 3.79, 8 Mn 3.80
La (0.1250, 0.8750, 0.2500)  4 Mn 2.70
La (0.8750, 0.1250, 0.7500)  4 Mn 2.70
Mn (0.0000, 0.0000, 0.0000)  2 Mn 2.68, 2 La 2.70
Mn (0.0000, 0.0000, 0.5000)  2 Mn 2.68, 2 La 2.70
Mn (0.0000, 0.5000, 0.0000)  2 Mn 2.68, 2 La 2.70
Mn (0.5000, 0.0000, 0.5000)  2 Mn 2.68, 2 La 2.70

---

# 4
Density functional theory data (GGA-PBE) for a geometry-optimized Re2As structure.

Calculated values
The formation energy comes out at 0.5 eV/f.u. The value obtained for the raw total energy is -9.6798 eV/atom. The total magnetic moment is 0.000 μB/atom.

a = 5.5194 Å, b = 5.5194 Å, c = 5.5194 Å
α = 148.96°, β = 148.96°, γ = 44.46°
Closest atoms and distances in Å follow each position.
Fractional coordinates of all 3 atoms:
Re (0.1654, 0.1654, 0.0000)  4 As 2.69, 8 Re 2.71-2.95
Re (0.8346, 0.8346, 0.0000)  4 As 2.69, 8 Re 2.71-2.95
As (0.5000, 0.5000, 0.0000)  8 Re 2.69, 4 As 2.95

---

# 5
Density functional theory data (GGA-PBE) for a geometry-optimized Pr2Th4Sb3N2 structure.

Calculated values
The value obtained for the raw total energy is -7.2459 eV/atom. The total magnetic moment is 0.000 μB/atom. The formation energy from raw total energies is -1.04 eV/atom.

a = 13.7339 Å, b = 13.7339 Å, c = 13.7339 Å
α = 159.98°, β = 159.98°, γ = 28.46°
Closest atoms and distances in Å follow each position.
Fractional coordinates of all 11 atoms:
Pr (0.1984, 0.1984, 0.0000)  1 N 2.56
Pr (0.8016, 0.8016, 0.0000)  1 N 2.56
Th (0.0843, 0.5843, 0.5000)  2 N 2.43
Th (0.4157, 0.9157, 0.5000)  2 N 2.43
Th (0.5843, 0.0843, 0.5000)  2 N 2.43
Th (0.9157, 0.4157, 0.5000)  2 N 2.43
Sb (0.3237, 0.3237, 0.0000)  5 Pr 3.33-3.43, 4 Th 3.42
Sb (0.5000, 0.5000, 0.0000)  8 Th 3.28
Sb (0.6763, 0.6763, 0.0000)  5 Pr 3.33-3.43, 4 Th 3.42
N (0.1021, 0.1021, 0.0000)  4 Th 2.43, 1 Pr 2.56
N (0.8979, 0.8979, 0.0000)  4 Th 2.43, 1 Pr 2.56

---

# 6
Density functional theory data (GGA-PBE) for a geometry-optimized YTe2 structure.

Calculated values
The value obtained for the raw total energy is -5.1915 eV/atom. The total magnetic moment is 0.000 μB/atom. The formation energy from raw total energies is -0.94 eV/atom.

a = 5.6360 Å, b = 5.6360 Å, c = 6.2512 Å
α = 90.00°, β = 90.00°, γ = 120.00°
Closest atoms and distances in Å follow each position.
Fractional coordinates of all 6 atoms:
Y (0.3333, 0.6667, 0.2500)  5 Te 3.13-3.25
Y (0.6667, 0.3333, 0.7500)  5 Te 3.13-3.25
Te (0.0000, 0.0000, 0.0000)  2 Te 3.13
Te (0.0000, 0.0000, 0.5000)  2 Te 3.13
Te (0.3333, 0.6667, 0.7500)  5 Y 3.13-3.25
Te (0.6667, 0.3333, 0.2500)  5 Y 3.13-3.25

---

# 7
Density functional theory data (GGA-PBE) for a geometry-optimized KTcAs2 structure.

Calculated values
The formation energy comes out at -0.3 eV/f.u. The value obtained for the raw total energy is -5.2604 eV/atom. The total magnetic moment is 0.000 μB/atom.

a = 7.6572 Å, b = 7.6572 Å, c = 7.6572 Å
α = 127.81°, β = 127.81°, γ = 76.93°
Closest atoms and distances in Å follow each position.
Fractional coordinates of all 8 atoms:
K (0.0000, 0.0000, 0.0000)  4 As 3.61
K (0.7500, 0.2500, 0.5000)  4 As 3.61
Tc (0.2500, 0.7500, 0.5000)  4 As 2.32
Tc (0.5000, 0.5000, 0.0000)  4 As 2.32
As (0.2930, 0.6250, 0.1680)  2 Tc 2.32
As (0.3750, 0.5430, 0.6680)  2 Tc 2.32
As (0.4570, 0.1250, 0.8320)  2 Tc 2.32
As (0.8750, 0.7070, 0.3320)  2 Tc 2.32

---

# 8
Density functional theory data (GGA-PBE) for a geometry-optimized Tm5Zn4Ga structure.

Calculated values
The formation energy comes out at -4.0 eV/f.u. The value obtained for the raw total energy is -3.4475 eV/atom. The total magnetic moment is 0.000 μB/atom.

a = 3.5213 Å, b = 3.5213 Å, c = 17.6057 Å
α = 90.00°, β = 90.00°, γ = 90.00°
Closest atoms and distances in Å follow each position.
Fractional coordinates of all 10 atoms:
Tm (0.0000, 0.0000, 0.0000)  8 Zn 3.05
Tm (0.0000, 0.0000, 0.1997)  8 Zn 3.03-3.04
Tm (0.0000, 0.0000, 0.3988)  4 Zn 3.06, 4 Ga 3.06
Tm (0.0000, 0.0000, 0.6012)  4 Zn 3.06, 4 Ga 3.06
Tm (0.0000, 0.0000, 0.8003)  8 Zn 3.03-3.04
Zn (0.5000, 0.5000, 0.1003)  8 Tm 3.04-3.05
Zn (0.5000, 0.5000, 0.2979)  8 Tm 3.03-3.06
Zn (0.5000, 0.5000, 0.7021)  8 Tm 3.03-3.06
Zn (0.5000, 0.5000, 0.8997)  8 Tm 3.04-3.05
Ga (0.5000, 0.5000, 0.5000)  8 Tm 3.06

---

# 9
Density functional theory data (GGA-PBE) for a geometry-optimized MgV3Zn structure.

Calculated values
The formation energy comes out at 8.9 eV/f.u. The value obtained for the raw total energy is -4.2606 eV/atom. The total magnetic moment is 0.126 μB/atom.

a = 4.5010 Å, b = 4.5010 Å, c = 4.5010 Å
α = 90.00°, β = 90.00°, γ = 90.00°
Closest atoms and distances in Å follow each position.
Fractional coordinates of all 5 atoms:
Mg (0.0000, 0.0000, 0.0000)  6 V 2.25
V (0.0000, 0.0000, 0.5000)  2 Mg 2.25
V (0.0000, 0.5000, 0.0000)  2 Mg 2.25
V (0.5000, 0.0000, 0.0000)  2 Mg 2.25
Zn (0.5000, 0.5000, 0.5000)  12 V 3.18

---

# 10
Density functional theory data (GGA-PBE) for a geometry-optimized Nd12Y6Ho structure.

Calculated values
The formation energy comes out at 2.5 eV/f.u. The value obtained for the raw total energy is -5.1612 eV/atom. The total magnetic moment is 0.000 μB/atom.

a = 8.7167 Å, b = 8.7167 Å, c = 8.7167 Å
α = 89.20°, β = 89.20°, γ = 89.20°
Closest atoms and distances in Å follow each position.
Fractional coordinates of all 19 atoms:
Nd (0.0189, 0.1947, 0.3616)  4 Nd 3.47-3.66, 4 Y 3.56-3.75, 1 Ho 3.61
Nd (0.1947, 0.3616, 0.0189)  4 Nd 3.47-3.66, 4 Y 3.56-3.75, 1 Ho 3.61
Nd (0.2195, 0.4638, 0.5664)  4 Nd 3.36-3.66, 3 Y 3.40-3.52
Nd (0.3616, 0.0189, 0.1947)  4 Nd 3.47-3.66, 4 Y 3.56-3.75, 1 Ho 3.61
Nd (0.4336, 0.7805, 0.5362)  4 Nd 3.36-3.66, 3 Y 3.40-3.52
Nd (0.4638, 0.5664, 0.2195)  4 Nd 3.36-3.66, 3 Y 3.40-3.52
Nd (0.5362, 0.4336, 0.7805)  4 Nd 3.36-3.66, 3 Y 3.40-3.52
Nd (0.5664, 0.2195, 0.4638)  4 Nd 3.36-3.66, 3 Y 3.40-3.52
Nd (0.6384, 0.9811, 0.8053)  4 Nd 3.47-3.66, 4 Y 3.56-3.75, 1 Ho 3.61
Nd (0.7805, 0.5362, 0.4336)  4 Nd 3.36-3.66, 3 Y 3.40-3.52
Nd (0.8053, 0.6384, 0.9811)  4 Nd 3.47-3.66, 4 Y 3.56-3.75, 1 Ho 3.61
Nd (0.9811, 0.8053, 0.6384)  4 Nd 3.47-3.66, 4 Y 3.56-3.75, 1 Ho 3.61
Y (0.0989, 0.7032, 0.2607)  7 Nd 3.40-3.75, 1 Ho 3.53, 2 Y 3.57
Y (0.2607, 0.0989, 0.7032)  7 Nd 3.40-3.75, 1 Ho 3.53, 2 Y 3.57
Y (0.2968, 0.7393, 0.9011)  7 Nd 3.40-3.75, 1 Ho 3.53, 2 Y 3.57
Y (0.7032, 0.2607, 0.0989)  7 Nd 3.40-3.75, 1 Ho 3.53, 2 Y 3.57
Y (0.7393, 0.9011, 0.2968)  7 Nd 3.40-3.75, 1 Ho 3.53, 2 Y 3.57
Y (0.9011, 0.2968, 0.7393)  7 Nd 3.40-3.75, 1 Ho 3.53, 2 Y 3.57
Ho (0.0000, 0.0000, 0.0000)  6 Y 3.53, 6 Nd 3.61

---

| no. | volume (Å³ per cell) |
| --- | --- |
| 1 | 333 |
| 2 | 47 |
| 3 | 269 |
| 4 | 45 |
| 5 | 304 |
| 6 | 172 |
| 7 | 272 |
| 8 | 218 |
| 9 | 91 |
| 10 | 662 |